No. 1
PBE-GGA Ac15PrNd4, optimized geometry; M_tot = 0.0 μB/f.u.; calculated formation energy = 24 meV/atom; SG = P4/mmm; density = 8.05 g/cm³
1.0
5.549 0.000 0.000
0.000 5.549 0.000
0.000 0.000 27.622
Ac Pr Nd
15 1 4
direct
0.000 0.000 0.000
0.000 0.000 0.200
0.000 0.000 0.400
0.000 0.000 0.600
0.000 0.000 0.800
0.000 0.500 0.100
0.000 0.500 0.300
0.000 0.500 0.500
0.000 0.500 0.700
0.000 0.500 0.900
0.500 0.000 0.100
0.500 0.000 0.300
0.500 0.000 0.500
0.500 0.000 0.700
0.500 0.000 0.900
0.500 0.500 0.000
0.500 0.500 0.200
0.500 0.500 0.400
0.500 0.500 0.600
0.500 0.500 0.800

=====

No. 2
PBE-GGA Li2Hg5Pd4, optimized geometry; M_tot = 0.0 μB/f.u.; calculated formation energy = -217 meV/atom; SG = P-1; density = 12.07 g/cm³
1.0
2.976 0.000 0.000
0.101 7.489 0.000
0.064 0.431 8.906
Li Hg Pd
2 5 4
direct
0.003 0.074 0.373
0.997 0.926 0.627
0.000 0.500 0.000
0.002 0.863 0.145
0.005 0.429 0.343
0.995 0.571 0.657
0.998 0.137 0.855
0.497 0.792 0.868
0.499 0.241 0.589
0.501 0.759 0.411
0.503 0.208 0.132

=====

No. 3
PBE-GGA Dy3Sc4Ge4, optimized geometry; M_tot = 2.6 μB/f.u.; calculated formation energy = -693 meV/atom; SG = Immm; density = 6.29 g/cm³
1.0
-1.980 4.225 7.560
1.980 -4.225 7.560
1.980 4.225 -7.560
Dy Sc Ge
3 4 4
direct
0.000 0.000 0.000
0.390 0.890 0.500
0.610 0.110 0.500
0.020 0.327 0.693
0.366 0.673 0.693
0.634 0.327 0.307
0.980 0.673 0.307
0.242 0.242 0.000
0.283 0.500 0.783
0.717 0.500 0.217
0.758 0.758 0.000

=====

No. 4
PBE-GGA HgRuIO4, optimized geometry; M_tot = 0.0 μB/f.u.; SG = C2/m; density = 4.37 g/cm³; ΔE_f (raw) = -0.49 eV/atom
1.0
4.877 -4.522 0.000
4.877 4.522 0.000
-1.807 0.000 8.480
Hg Ru I O
2 2 2 8
direct
0.195 0.195 0.025
0.805 0.805 0.975
0.405 0.405 0.761
0.595 0.595 0.239
0.026 0.026 0.255
0.974 0.974 0.745
0.202 0.496 0.866
0.314 0.314 0.569
0.412 0.412 0.215
0.496 0.202 0.866
0.504 0.798 0.134
0.588 0.588 0.785
0.686 0.686 0.431
0.798 0.504 0.134